--- i ---
First-principles (PBE) data for a relaxed structure of Mg2CoTc, as listed in Alexandria via LeMat-Bulk.

Geometry as extended XYZ:
```
4
Lattice="1.4027 0.8098 9.0055 -1.4027 0.8098 9.0055 0.0000 -1.6197 9.0055" Properties=species:S:1:pos:R:3 pbc="T T T"
Mg 0.0000 0.0000 6.6545
Mg 0.0000 0.0000 20.3621
Co 0.0000 0.0000 13.5083
Tc 0.0000 0.0000 0.0000
```

magnetization	1.4	μB/f.u.
D(E_F)	4.5	states/eV/f.u.

---

--- ii ---
First-principles (PBE) data for a relaxed structure of Mg2CoTc, as listed in Alexandria via LeMat-Bulk.

Geometry as extended XYZ:
```
4
Lattice="2.7245 -4.2594 0.0000 2.7245 4.2594 0.0000 0.0000 0.0000 2.6476" Properties=species:S:1:pos:R:3 pbc="T T T"
Mg 1.3623 2.1297 0.0000
Mg 1.3623 -2.1297 0.0000
Co 0.0000 0.0000 1.3238
Tc 2.7245 0.0000 1.3238
```

magnetization	1.8	μB/f.u.
D(E_F)	3.6	states/eV/f.u.

---

Most favorable first, least favorable last: ii, i

---

--- i ---
First-principles (PBE) data for a relaxed structure of MgCoTc, as listed in Alexandria via LeMat-Bulk.

Geometry as extended XYZ:
```
6
Lattice="1.9829 -5.4241 0.0000 1.9829 5.4241 0.0000 0.0000 0.0000 4.0440" Properties=species:S:1:pos:R:3 pbc="T T T"
Mg 1.9829 2.7153 3.0330
Mg 1.9829 -2.7153 1.0110
Co 1.9829 4.6457 1.0110
Co 1.9829 -4.6457 3.0330
Tc 1.9829 0.6677 1.0110
Tc 1.9829 -0.6677 3.0330
```

magnetization	0.1	μB/f.u.
D(E_F)	2.4	states/eV/f.u.

---

--- ii ---
First-principles (PBE) data for a relaxed structure of MgCoTc, as listed in Alexandria via LeMat-Bulk.

Geometry as extended XYZ:
```
12
Lattice="5.1276 0.0000 0.0000 0.0000 4.1353 0.0000 0.0000 0.0000 8.0234" Properties=species:S:1:pos:R:3 pbc="T T T"
Mg 0.7093 1.0338 0.6003
Mg 1.8545 3.1014 4.6120
Mg 3.2731 1.0338 3.4114
Mg 4.4183 3.1014 7.4231
Co 0.6557 1.0338 3.2839
Co 1.9081 3.1014 7.2956
Co 3.2195 1.0338 0.7277
Co 4.4719 3.1014 4.7394
Tc 0.3234 1.0338 5.7208
Tc 2.2404 3.1014 1.7091
Tc 2.8872 1.0338 6.3142
Tc 4.8042 3.1014 2.3025
```

magnetization	0.0	μB/f.u.
D(E_F)	3.5	states/eV/f.u.

---

Most favorable first, least favorable last: i, ii

---

--- i ---
First-principles (PBE) data for a relaxed structure of Mg6TiCo, as listed in Alexandria via LeMat-Bulk.

Geometry as extended XYZ:
```
8
Lattice="4.7216 0.0000 0.0000 0.0000 3.0145 5.4840 0.0000 -3.0145 5.4840" Properties=species:S:1:pos:R:3 pbc="T T T"
Mg 0.0000 0.0000 0.0000
Mg 0.0000 -1.4499 2.7984
Mg 0.0000 1.4499 2.7984
Mg 2.3608 -1.4498 6.5199
Mg 2.3608 1.4498 6.5199
Mg 2.3608 0.0000 9.2064
Ti 2.3608 0.0000 4.0039
Co 0.0000 0.0000 5.2010
```

magnetization	0.2	μB/f.u.
D(E_F)	5.5	states/eV/f.u.

---

--- ii ---
First-principles (PBE) data for a relaxed structure of Mg6TiCo, as listed in Alexandria via LeMat-Bulk.

Geometry as extended XYZ:
```
8
Lattice="4.8335 0.0000 0.0000 0.0000 2.9233 5.4603 0.0000 -2.9233 5.4603" Properties=species:S:1:pos:R:3 pbc="T T T"
Mg 0.0000 0.0000 0.0000
Mg 0.0000 -1.4380 2.8241
Mg 0.0000 0.0000 5.2977
Mg 0.0000 1.4380 2.8241
Mg 2.4168 -1.4675 6.5410
Mg 2.4168 1.4675 6.5410
Ti 2.4168 0.0000 9.2755
Co 2.4168 0.0000 3.7305
```

magnetization	1.5	μB/f.u.
D(E_F)	7.0	states/eV/f.u.

---

Most favorable first, least favorable last: i, ii

---

--- i ---
First-principles (PBE) data for a relaxed structure of MgTiCo3, as listed in Alexandria via LeMat-Bulk.

Geometry as extended XYZ:
```
5
Lattice="4.3008 0.0000 0.0000 0.0000 4.3008 0.0000 0.0000 0.0000 4.3008" Properties=species:S:1:pos:R:3 pbc="T T T"
Mg 0.0000 0.0000 0.0000
Ti 2.1504 2.1504 2.1504
Co 0.0000 2.1504 2.1504
Co 2.1504 0.0000 2.1504
Co 2.1504 2.1504 0.0000
```

magnetization	1.0	μB/f.u.
D(E_F)	4.9	states/eV/f.u.

---

--- ii ---
First-principles (PBE) data for a relaxed structure of MgTiCo3, as listed in Alexandria via LeMat-Bulk.

Geometry as extended XYZ:
```
5
Lattice="4.2238 0.0000 0.0000 0.0000 4.2238 0.0000 0.0000 0.0000 4.2238" Properties=species:S:1:pos:R:3 pbc="T T T"
Mg 0.0000 0.0000 0.0000
Ti 2.1119 2.1119 2.1119
Co 0.0000 0.0000 2.1119
Co 0.0000 2.1119 0.0000
Co 2.1119 0.0000 0.0000
```

magnetization	1.2	μB/f.u.
D(E_F)	7.7	states/eV/f.u.

---

Most favorable first, least favorable last: i, ii

---

--- i ---
First-principles (PBE) data for a relaxed structure of Mg2TlCo, as listed in Alexandria via LeMat-Bulk.

Geometry as extended XYZ:
```
4
Lattice="3.0863 -3.0907 0.0000 3.0863 3.0907 0.0000 0.0000 0.0000 3.8750" Properties=species:S:1:pos:R:3 pbc="T T T"
Mg 1.5432 1.5453 0.0000
Mg 1.5432 -1.5453 0.0000
Tl 0.0000 0.0000 1.9375
Co 3.0863 0.0000 1.9375
```

magnetization	1.2	μB/f.u.
D(E_F)	2.1	states/eV/f.u.

---

--- ii ---
First-principles (PBE) data for a relaxed structure of Mg2TlCo, as listed in Alexandria via LeMat-Bulk.

Geometry as extended XYZ:
```
4
Lattice="0.0000 3.3317 3.3317 3.3317 0.0000 3.3317 3.3317 3.3317 0.0000" Properties=species:S:1:pos:R:3 pbc="T T T"
Mg 1.6658 1.6658 1.6658
Mg 4.9975 4.9975 4.9975
Tl 0.0000 0.0000 0.0000
Co 3.3317 3.3317 3.3317
```

magnetization	1.2	μB/f.u.
D(E_F)	3.0	states/eV/f.u.

---

--- iii ---
First-principles (PBE) data for a relaxed structure of Mg2TlCo, as listed in Alexandria via LeMat-Bulk.

Geometry as extended XYZ:
```
4
Lattice="3.1769 0.0000 0.0000 0.0000 4.3240 0.0000 -1.5688 0.0000 5.6349" Properties=species:S:1:pos:R:3 pbc="T T T"
Mg 0.0000 0.0000 0.0000
Mg -0.0019 2.1620 3.8949
Tl 1.5827 2.1620 1.3758
Co 1.5889 0.0000 2.9599
```

magnetization	1.1	μB/f.u.
D(E_F)	3.8	states/eV/f.u.

---

--- iv ---
First-principles (PBE) data for a relaxed structure of Mg2TlCo, as listed in Alexandria via LeMat-Bulk.

Geometry as extended XYZ:
```
4
Lattice="1.5976 0.9223 9.2097 -1.5976 0.9223 9.2097 0.0000 -1.8447 9.2097" Properties=species:S:1:pos:R:3 pbc="T T T"
Mg 0.0000 0.0000 0.0000
Mg 0.0000 0.0000 6.5347
Tl 0.0000 0.0000 13.2010
Co 0.0000 0.0000 20.3406
```

magnetization	1.4	μB/f.u.
D(E_F)	2.7	states/eV/f.u.

---

Most favorable first, least favorable last: i, iii, ii, iv

---

--- i ---
First-principles (PBE) data for a relaxed structure of Mg2TlCo, as listed in Alexandria via LeMat-Bulk.

Geometry as extended XYZ:
```
4
Lattice="-2.0737 2.0737 4.2447 2.0737 -2.0737 4.2447 2.0737 2.0737 -4.2447" Properties=species:S:1:pos:R:3 pbc="T T T"
Mg 2.0737 0.0000 2.1224
Mg 0.0000 2.0737 2.1224
Tl 0.0000 0.0000 0.0000
Co 0.0000 0.0000 4.2447
```

magnetization	0.7	μB/f.u.
D(E_F)	4.0	states/eV/f.u.

---

--- ii ---
First-principles (PBE) data for a relaxed structure of Mg2TlCo, as listed in Alexandria via LeMat-Bulk.

Geometry as extended XYZ:
```
4
Lattice="5.2092 -1.7112 0.0000 5.2092 1.7112 0.0000 -2.0184 0.0000 4.1379" Properties=species:S:1:pos:R:3 pbc="T T T"
Mg 1.8429 0.0000 0.9060
Mg 6.5570 0.0000 3.2320
Tl -1.0092 0.0000 2.0690
Co 5.2092 0.0000 0.0000
```

magnetization	0.8	μB/f.u.
D(E_F)	1.7	states/eV/f.u.

---

Most favorable first, least favorable last: ii, i

---

--- i ---
First-principles (PBE) data for a relaxed structure of Mg2TlCo, as listed in Alexandria via LeMat-Bulk.

Geometry as extended XYZ:
```
4
Lattice="3.4126 0.0000 0.0000 0.0000 3.4126 0.0000 0.0000 0.0000 6.4080" Properties=species:S:1:pos:R:3 pbc="T T T"
Mg 0.0000 0.0000 0.0000
Mg 1.7063 1.7063 1.7742
Tl 0.0000 0.0000 3.6185
Co 1.7063 1.7063 5.1992
```

magnetization	0.7	μB/f.u.
D(E_F)	2.2	states/eV/f.u.

---

--- ii ---
First-principles (PBE) data for a relaxed structure of Mg2TlCo, as listed in Alexandria via LeMat-Bulk.

Geometry as extended XYZ:
```
4
Lattice="3.1685 0.0000 0.0000 0.0000 3.1376 0.0000 -0.0429 0.0000 7.7056" Properties=species:S:1:pos:R:3 pbc="T T T"
Mg -0.0019 0.0000 1.4333
Mg 3.1275 0.0000 6.2723
Tl 1.5628 1.5688 3.8528
Co 1.5843 1.5688 0.0000
```

magnetization	0.0	μB/f.u.
D(E_F)	2.3	states/eV/f.u.

---

--- iii ---
First-principles (PBE) data for a relaxed structure of Mg2TlCo, as listed in Alexandria via LeMat-Bulk.

Geometry as extended XYZ:
```
4
Lattice="0.0000 3.2945 3.2945 3.2945 0.0000 3.2945 3.2945 3.2945 0.0000" Properties=species:S:1:pos:R:3 pbc="T T T"
Mg 0.0000 0.0000 0.0000
Mg 1.6473 1.6473 1.6473
Tl 4.9418 4.9418 4.9418
Co 3.2945 3.2945 3.2945
```

magnetization	0.4	μB/f.u.
D(E_F)	2.7	states/eV/f.u.

---

Most favorable first, least favorable last: ii, i, iii

---

--- i ---
First-principles (PBE) data for a relaxed structure of Mg2TlCo, as listed in Alexandria via LeMat-Bulk.

Geometry as extended XYZ:
```
8
Lattice="-2.0585 2.0585 9.7768 2.0585 -2.0585 9.7768 2.0585 2.0585 -9.7768" Properties=species:S:1:pos:R:3 pbc="T T T"
Mg 3.0878 0.9425 -2.4442
Mg 0.9425 1.0293 2.4442
Mg -1.0293 1.1161 7.3326
Mg 1.1161 1.0293 12.2210
Tl 2.0585 0.0000 4.8884
Tl 0.0000 0.0000 9.7768
Co 0.0000 0.0000 0.0000
Co 0.0000 2.0585 4.8884
```

magnetization	1.2	μB/f.u.
D(E_F)	6.8	states/eV/f.u.

---

--- ii ---
First-principles (PBE) data for a relaxed structure of Mg2TlCo, as listed in Alexandria via LeMat-Bulk.

Geometry as extended XYZ:
```
4
Lattice="5.1172 -1.7639 0.0000 5.1172 1.7639 0.0000 -1.9913 0.0000 4.1025" Properties=species:S:1:pos:R:3 pbc="T T T"
Mg 0.0000 0.0000 0.0000
Mg 0.8180 0.0000 2.9528
Tl 3.6973 0.0000 1.8371
Co 6.9513 0.0000 0.9048
```

magnetization	0.9	μB/f.u.
D(E_F)	1.6	states/eV/f.u.

---

--- iii ---
First-principles (PBE) data for a relaxed structure of Mg2TlCo, as listed in Alexandria via LeMat-Bulk.

Geometry as extended XYZ:
```
4
Lattice="1.5940 0.9203 9.1078 -1.5940 0.9203 9.1078 0.0000 -1.8406 9.1078" Properties=species:S:1:pos:R:3 pbc="T T T"
Mg 0.0000 0.0000 6.4663
Mg 0.0000 0.0000 20.8572
Tl 0.0000 0.0000 0.0000
Co 0.0000 0.0000 13.6617
```

magnetization	1.2	μB/f.u.
D(E_F)	2.6	states/eV/f.u.

---

Most favorable first, least favorable last: ii, iii, i